#A
{
  "formula": "VReMo3",
  "functional": "PBE",
  "state": "relaxed",
  "lattice_angstrom": [[7.108, -5.778, 0.000], [7.108, 5.778, 0.000], [-1.322, 0.000, 4.135]],
  "species": ["V", "V", "V", "V", "Re", "Re", "Re", "Re", "Mo", "Mo", "Mo", "Mo", "Mo", "Mo", "Mo", "Mo", "Mo", "Mo", "Mo", "Mo"],
  "frac_coords": [[0.058, 0.942, 0.750], [0.200, 0.800, 0.250], [0.800, 0.200, 0.750], [0.942, 0.058, 0.250], [0.212, 0.383, 0.547], [0.383, 0.212, 0.047], [0.617, 0.788, 0.953], [0.788, 0.617, 0.453], [0.085, 0.227, 0.905], [0.088, 0.655, 0.621], [0.227, 0.085, 0.405], [0.294, 0.512, 0.152], [0.345, 0.912, 0.879], [0.488, 0.706, 0.348], [0.512, 0.294, 0.652], [0.655, 0.088, 0.121], [0.706, 0.488, 0.848], [0.773, 0.915, 0.595], [0.912, 0.345, 0.379], [0.915, 0.773, 0.095]],
  "magnetic_moment_mub_per_cell": 0.00,
  "dos_ef_per_ev_cell": 19.5,
  "spacegroup": "C2/c"
}

#B
{
  "formula": "VReMo3",
  "functional": "PBE",
  "state": "relaxed",
  "lattice_angstrom": [[4.428, 0.000, 0.000], [0.000, 4.428, 0.000], [0.000, 0.000, 4.428]],
  "species": ["V", "Re", "Mo", "Mo", "Mo"],
  "frac_coords": [[0.000, 0.000, 0.000], [0.500, 0.500, 0.500], [0.000, 0.000, 0.500], [0.000, 0.500, 0.000], [0.500, 0.000, 0.000]],
  "magnetic_moment_mub_per_cell": 0.00,
  "dos_ef_per_ev_cell": 5.8,
  "spacegroup": "Pm-3m"
}

Pick #A: it beats the second-best structure by 981 meV/atom.

#A
{
  "formula": "V6ReMo",
  "functional": "PBE",
  "state": "relaxed",
  "lattice_angstrom": [[4.414, 2.548, 1.702], [-4.414, 2.548, 1.702], [0.000, -5.097, 1.702]],
  "species": ["V", "V", "V", "V", "V", "V", "Re", "Mo"],
  "frac_coords": [[0.251, 0.251, 0.749], [0.251, 0.749, 0.251], [0.251, 0.749, 0.749], [0.749, 0.251, 0.251], [0.749, 0.251, 0.749], [0.749, 0.749, 0.251], [0.500, 0.500, 0.500], [0.000, 0.000, 0.000]],
  "magnetic_moment_mub_per_cell": 0.00,
  "dos_ef_per_ev_cell": 9.8,
  "spacegroup": "R-3m"
}

#B
{
  "formula": "V6ReMo",
  "functional": "PBE",
  "state": "relaxed",
  "lattice_angstrom": [[4.334, 0.000, 0.000], [0.000, 4.222, 3.039], [0.000, -4.222, 3.039]],
  "species": ["V", "V", "V", "V", "V", "V", "Re", "Mo"],
  "frac_coords": [[0.000, 0.000, 0.000], [0.000, 0.000, 0.494], [0.000, 0.494, 0.000], [0.500, 0.245, 0.749], [0.500, 0.246, 0.246], [0.500, 0.749, 0.245], [0.000, 0.494, 0.494], [0.500, 0.750, 0.750]],
  "magnetic_moment_mub_per_cell": 0.00,
  "dos_ef_per_ev_cell": 11.2,
  "spacegroup": "Amm2"
}

Pick #B: it beats the second-best structure by 256 meV/atom.